(1)
Entry from Alexandria: an optimized crystal structure of Ba2CrBI (PBEsol).

Lattice parameters (Å, degrees): 5.9375 5.9375 4.9212 90.00 90.00 90.00
Atoms (fractional coordinates):
1 Ba 0.0000 0.5000 0.0000
2 Ba 0.5000 0.0000 0.0000
3 Cr 0.0000 0.0000 0.0000
4 B 0.5000 0.5000 0.5000
5 I 0.0000 0.0000 0.5000

## Properties
Raw formation energy, eV per atom: 1.08

---

(2)
Entry from Alexandria: an optimized crystal structure of BaCrBRh2 (PBEsol).

Lattice parameters (Å, degrees): 4.9455 4.9455 5.2854 90.00 90.00 90.00
Atoms (fractional coordinates):
1 Ba 0.0000 0.0000 0.0000
2 Cr 0.0000 0.0000 0.5000
3 B 0.5000 0.5000 0.5000
4 Rh 0.0000 0.5000 0.0000
5 Rh 0.5000 0.0000 0.0000

## Properties
Energy relative to the elements, meV per atom: 2903